--- 1 ---
A geometry-optimized AgPN2F structure. Source: the Alexandria database, functional GGA-PBE.

Unit cell a=3.3310 b=3.3310 c=5.5107 alpha=90.00 beta=90.00 gamma=90.00
Closest atoms and distances in Å follow each position.
Atoms (fractional coordinates):
P 0.0000 0.0000 0.0000  4 N 1.67
N 0.0000 0.5000 0.0000  2 P 1.67
N 0.5000 0.0000 0.0000  2 P 1.67
Ag 0.5000 0.5000 0.5000  4 F 2.36
F 0.0000 0.0000 0.5000  4 Ag 2.36

* symmetry: No. 123
* spin magnetization: 0.080 μB/atom
* N(E_F): 0.309 states/eV per atom


--- 2 ---
A geometry-optimized AgPN2F structure. Source: the Alexandria database, functional GGA-PBE.

Unit cell a=4.0949 b=4.0949 c=4.0227 alpha=90.00 beta=90.00 gamma=90.00
Closest atoms and distances in Å follow each position.
Atoms (fractional coordinates):
P 0.5000 0.5000 0.5000  8 N 2.87, 4 F 2.90
N 0.0000 0.5000 0.0000  2 Ag 2.05
N 0.5000 0.0000 0.0000  2 Ag 2.05
Ag 0.0000 0.0000 0.0000  2 F 2.01, 4 N 2.05
F 0.0000 0.0000 0.5000  2 Ag 2.01

* symmetry: No. 123
* spin magnetization: 0.000 μB/atom
* N(E_F): 0.650 states/eV per atom


Most stable pick: 1. Distance to second place: 139.0 kJ/mol of atoms.


--- 1 ---
A geometry-optimized AgPbN2F structure. Source: the Alexandria database, functional GGA-PBE.

Unit cell a=4.0706 b=4.8133 c=4.0706 alpha=90.00 beta=90.00 gamma=90.00
Closest atoms and distances in Å follow each position.
Atoms (fractional coordinates):
Pb 0.5000 0.5000 0.5000  4 F 2.88, 8 N 3.15
N 0.0000 0.0000 0.5000  2 Ag 2.04
N 0.5000 0.0000 0.0000  2 Ag 2.04
Ag 0.0000 0.0000 0.0000  4 N 2.04
F 0.0000 0.5000 0.0000  2 Ag 2.41

* symmetry: No. 123
* spin magnetization: 0.453 μB/atom
* N(E_F): 0.318 states/eV per atom


--- 2 ---
A geometry-optimized AgPbN2F structure. Source: the Alexandria database, functional GGA-PBE.

Unit cell a=4.3933 b=4.3933 c=4.4735 alpha=90.00 beta=90.00 gamma=90.00
Closest atoms and distances in Å follow each position.
Atoms (fractional coordinates):
Pb 0.0000 0.0000 0.0000  4 N 2.20, 2 F 2.24
N 0.0000 0.5000 0.0000  2 Pb 2.20
N 0.5000 0.0000 0.0000  2 Pb 2.20
Ag 0.5000 0.5000 0.5000  4 F 3.11, 8 N 3.14
F 0.0000 0.0000 0.5000  2 Pb 2.24

* symmetry: No. 123
* spin magnetization: 0.431 μB/atom
* N(E_F): 0.377 states/eV per atom


Most stable pick: 1. Distance to second place: 14.0 kJ/mol of atoms.


--- 1 ---
A geometry-optimized AgPdNF2 structure. Source: the Alexandria database, functional GGA-PBE.

Unit cell a=4.3534 b=4.3534 c=4.0474 alpha=90.00 beta=90.00 gamma=90.00
Closest atoms and distances in Å follow each position.
Atoms (fractional coordinates):
N 0.0000 0.0000 0.5000  2 Ag 2.02
Pd 0.5000 0.5000 0.5000  8 F 2.97, 4 N 3.08
Ag 0.0000 0.0000 0.0000  2 N 2.02, 4 F 2.18
F 0.0000 0.5000 0.0000  2 Ag 2.18
F 0.5000 0.0000 0.0000  2 Ag 2.18

* symmetry: No. 123
* spin magnetization: 0.504 μB/atom
* N(E_F): 1.761 states/eV per atom


--- 2 ---
A geometry-optimized AgPdNF2 structure. Source: the Alexandria database, functional GGA-PBE.

Unit cell a=4.4467 b=4.4467 c=3.7044 alpha=90.00 beta=90.00 gamma=90.00
Closest atoms and distances in Å follow each position.
Atoms (fractional coordinates):
N 0.0000 0.0000 0.5000  2 Pd 1.85
Pd 0.0000 0.0000 0.0000  2 N 1.85
Ag 0.5000 0.5000 0.5000  8 F 2.89, 4 N 3.14
F 0.0000 0.5000 0.0000  2 Pd 2.22
F 0.5000 0.0000 0.0000  2 Pd 2.22

* symmetry: No. 123
* spin magnetization: 0.000 μB/atom
* N(E_F): 0.592 states/eV per atom


Most stable pick: 2. Distance to second place: 56.9 kJ/mol of atoms.


--- 1 ---
A geometry-optimized RbAgNF2 structure. Source: the Alexandria database, functional GGA-PBE.

Unit cell a=4.7074 b=4.7074 c=4.1019 alpha=90.00 beta=90.00 gamma=90.00
Closest atoms and distances in Å follow each position.
Atoms (fractional coordinates):
N 0.0000 0.0000 0.5000  2 Ag 2.05
Rb 0.5000 0.5000 0.5000  8 F 3.12, 4 N 3.33
Ag 0.0000 0.0000 0.0000  2 N 2.05
F 0.0000 0.5000 0.0000  2 Ag 2.35
F 0.5000 0.0000 0.0000  2 Ag 2.35

* symmetry: No. 123
* spin magnetization: 0.445 μB/atom
* N(E_F): 0.204 states/eV per atom


--- 2 ---
A geometry-optimized RbAgNF2 structure. Source: the Alexandria database, functional GGA-PBE.

Unit cell a=5.1838 b=5.1838 c=5.2295 alpha=90.00 beta=90.00 gamma=90.00
Closest atoms and distances in Å follow each position.
Atoms (fractional coordinates):
N 0.0000 0.0000 0.5000  2 Rb 2.61
Rb 0.0000 0.0000 0.0000  4 F 2.59, 2 N 2.61
Ag 0.5000 0.5000 0.5000  4 N 3.67, 8 F 3.68
F 0.0000 0.5000 0.0000  2 Rb 2.59
F 0.5000 0.0000 0.0000  2 Rb 2.59

* symmetry: No. 123
* spin magnetization: 0.606 μB/atom
* N(E_F): 0.319 states/eV per atom


Most stable pick: 1. Distance to second place: 83.1 kJ/mol of atoms.


--- 1 ---
A geometry-optimized AgRuN2F structure. Source: the Alexandria database, functional GGA-PBE.

Unit cell a=3.8103 b=3.8103 c=4.4346 alpha=90.00 beta=90.00 gamma=90.00
Closest atoms and distances in Å follow each position.
Atoms (fractional coordinates):
Ru 0.0000 0.0000 0.0000  4 N 1.91
N 0.0000 0.5000 0.0000  2 Ru 1.91
N 0.5000 0.0000 0.0000  2 Ru 1.91
Ag 0.5000 0.5000 0.5000  4 F 2.69, 8 N 2.92
F 0.0000 0.0000 0.5000  2 Ru 2.22

* symmetry: No. 123
* spin magnetization: 0.000 μB/atom
* N(E_F): 0.683 states/eV per atom


--- 2 ---
A geometry-optimized AgRuN2F structure. Source: the Alexandria database, functional GGA-PBE.

Unit cell a=4.0647 b=4.0647 c=4.1008 alpha=90.00 beta=90.00 gamma=90.00
Closest atoms and distances in Å follow each position.
Atoms (fractional coordinates):
Ru 0.5000 0.5000 0.5000  4 F 2.87, 8 N 2.89
N 0.0000 0.5000 0.0000  2 Ag 2.03
N 0.5000 0.0000 0.0000  2 Ag 2.03
Ag 0.0000 0.0000 0.0000  4 N 2.03, 2 F 2.05
F 0.0000 0.0000 0.5000  2 Ag 2.05

* symmetry: No. 123
* spin magnetization: 0.715 μB/atom
* N(E_F): 1.003 states/eV per atom


Most stable pick: 1. Distance to second place: 137.5 kJ/mol of atoms.


--- 1 ---
A geometry-optimized AgS2NF structure. Source: the Alexandria database, functional GGA-PBE.

Unit cell a=4.2556 b=4.2556 c=4.7774 alpha=90.00 beta=90.00 gamma=90.00
Closest atoms and distances in Å follow each position.
Atoms (fractional coordinates):
S 0.0000 0.5000 0.0000  2 F 2.13
S 0.5000 0.0000 0.0000  2 F 2.13
N 0.0000 0.0000 0.5000  2 F 2.39
Ag 0.5000 0.5000 0.5000  4 N 3.01, 8 S 3.20
F 0.0000 0.0000 0.0000  4 S 2.13

* symmetry: No. 123
* spin magnetization: 0.650 μB/atom
* N(E_F): 0.618 states/eV per atom


--- 2 ---
A geometry-optimized AgS2NF structure. Source: the Alexandria database, functional GGA-PBE.

Unit cell a=4.9987 b=4.9987 c=4.1000 alpha=90.00 beta=90.00 gamma=90.00
Closest atoms and distances in Å follow each position.
Atoms (fractional coordinates):
S 0.0000 0.5000 0.0000  2 Ag 2.50
S 0.5000 0.0000 0.0000  2 Ag 2.50
N 0.0000 0.0000 0.5000  2 Ag 2.05
Ag 0.0000 0.0000 0.0000  2 N 2.05
F 0.5000 0.5000 0.5000  8 S 3.23, 4 N 3.53

* symmetry: No. 123
* spin magnetization: 1.048 μB/atom
* N(E_F): 0.399 states/eV per atom


Most stable pick: 2. Distance to second place: 5.2 kJ/mol of atoms.


--- 1 ---
A geometry-optimized AgSbN2F structure. Source: the Alexandria database, functional GGA-PBE.

Unit cell a=4.1578 b=4.1578 c=4.1232 alpha=90.00 beta=90.00 gamma=90.00
Closest atoms and distances in Å follow each position.
Atoms (fractional coordinates):
Sb 0.5000 0.5000 0.5000  8 N 2.93, 4 F 2.94
N 0.0000 0.5000 0.0000  2 Ag 2.08
N 0.5000 0.0000 0.0000  2 Ag 2.08
Ag 0.0000 0.0000 0.0000  2 F 2.06, 4 N 2.08
F 0.0000 0.0000 0.5000  2 Ag 2.06

* symmetry: No. 123
* spin magnetization: 0.152 μB/atom
* N(E_F): 0.569 states/eV per atom


--- 2 ---
A geometry-optimized AgSbN2F structure. Source: the Alexandria database, functional GGA-PBE.

Unit cell a=4.0497 b=4.0497 c=4.2516 alpha=90.00 beta=90.00 gamma=90.00
Closest atoms and distances in Å follow each position.
Atoms (fractional coordinates):
Sb 0.0000 0.0000 0.0000  4 N 2.02, 2 F 2.13
N 0.0000 0.5000 0.0000  2 Sb 2.02
N 0.5000 0.0000 0.0000  2 Sb 2.02
Ag 0.5000 0.5000 0.5000  4 F 2.86, 8 N 2.94
F 0.0000 0.0000 0.5000  2 Sb 2.13

* symmetry: No. 123
* spin magnetization: 0.127 μB/atom
* N(E_F): 0.400 states/eV per atom


Most stable pick: 2. Distance to second place: 55.3 kJ/mol of atoms.


--- 1 ---
A geometry-optimized ScAgNF2 structure. Source: the Alexandria database, functional GGA-PBE.

Unit cell a=3.8422 b=6.7547 c=3.8422 alpha=90.00 beta=90.00 gamma=90.00
Closest atoms and distances in Å follow each position.
Atoms (fractional coordinates):
Sc 0.0000 0.5000 0.0000  4 N 2.72
N 0.5000 0.5000 0.5000  4 Sc 2.72
Ag 0.0000 0.0000 0.0000  4 F 1.92
F 0.0000 0.0000 0.5000  2 Ag 1.92
F 0.5000 0.0000 0.0000  2 Ag 1.92

* symmetry: No. 123
* spin magnetization: 0.000 μB/atom
* N(E_F): 0.484 states/eV per atom


--- 2 ---
A geometry-optimized ScAgNF2 structure. Source: the Alexandria database, functional GGA-PBE.

Unit cell a=4.1891 b=4.1891 c=4.2103 alpha=90.00 beta=90.00 gamma=90.00
Closest atoms and distances in Å follow each position.
Atoms (fractional coordinates):
Sc 0.5000 0.5000 0.5000  4 N 2.96, 8 F 2.97
N 0.0000 0.0000 0.5000  2 Ag 2.11
Ag 0.0000 0.0000 0.0000  4 F 2.09, 2 N 2.11
F 0.0000 0.5000 0.0000  2 Ag 2.09
F 0.5000 0.0000 0.0000  2 Ag 2.09

* symmetry: No. 123
* spin magnetization: 0.017 μB/atom
* N(E_F): 0.500 states/eV per atom


Most stable pick: 2. Distance to second place: 28.4 kJ/mol of atoms.


--- 1 ---
A geometry-optimized AgSeN2F structure. Source: the Alexandria database, functional GGA-PBE.

Unit cell a=4.1920 b=4.1920 c=4.1553 alpha=90.00 beta=90.00 gamma=90.00
Closest atoms and distances in Å follow each position.
Atoms (fractional coordinates):
N 0.0000 0.5000 0.0000  2 Ag 2.10
N 0.5000 0.0000 0.0000  2 Ag 2.10
Se 0.5000 0.5000 0.5000  8 N 2.95, 4 F 2.96
Ag 0.0000 0.0000 0.0000  2 F 2.08, 4 N 2.10
F 0.0000 0.0000 0.5000  2 Ag 2.08

* symmetry: No. 123
* spin magnetization: 0.297 μB/atom
* N(E_F): 0.695 states/eV per atom


--- 2 ---
A geometry-optimized AgSeN2F structure. Source: the Alexandria database, functional GGA-PBE.

Unit cell a=4.0669 b=4.0669 c=5.5891 alpha=90.00 beta=90.00 gamma=90.00
Closest atoms and distances in Å follow each position.
Atoms (fractional coordinates):
N 0.0000 0.5000 0.0000  2 Ag 2.03
N 0.5000 0.0000 0.0000  2 Ag 2.03
Se 0.0000 0.0000 0.5000  2 Ag 2.79, 4 F 2.88
Ag 0.0000 0.0000 0.0000  4 N 2.03
F 0.5000 0.5000 0.5000  4 Se 2.88

* symmetry: No. 123
* spin magnetization: 1.034 μB/atom
* N(E_F): 0.658 states/eV per atom


Most stable pick: 1. Distance to second place: 17.5 kJ/mol of atoms.


--- 1 ---
A geometry-optimized AgSeN2F structure. Source: the Alexandria database, functional GGA-PBE.

Unit cell a=4.0679 b=4.0679 c=4.6771 alpha=90.00 beta=90.00 gamma=90.00
Closest atoms and distances in Å follow each position.
Atoms (fractional coordinates):
N 0.0000 0.5000 0.0000  2 F 2.03
N 0.5000 0.0000 0.0000  2 F 2.03
Se 0.0000 0.0000 0.5000  2 F 2.34
Ag 0.5000 0.5000 0.5000  4 Se 2.88, 8 N 3.10
F 0.0000 0.0000 0.0000  4 N 2.03

* symmetry: No. 123
* spin magnetization: 0.763 μB/atom
* N(E_F): 0.474 states/eV per atom


--- 2 ---
A geometry-optimized AgSeN2F structure. Source: the Alexandria database, functional GGA-PBE.

Unit cell a=3.7757 b=3.7757 c=4.6813 alpha=90.00 beta=90.00 gamma=90.00
Closest atoms and distances in Å follow each position.
Atoms (fractional coordinates):
N 0.0000 0.5000 0.0000  2 Se 1.89
N 0.5000 0.0000 0.0000  2 Se 1.89
Se 0.0000 0.0000 0.0000  4 N 1.89
Ag 0.5000 0.5000 0.5000  4 F 2.67
F 0.0000 0.0000 0.5000  2 Se 2.34

* symmetry: No. 123
* spin magnetization: 0.000 μB/atom
* N(E_F): 0.469 states/eV per atom


Most stable pick: 2. Distance to second place: 99.6 kJ/mol of atoms.


--- 1 ---
A geometry-optimized AgSeNF2 structure. Source: the Alexandria database, functional GGA-PBE.

Unit cell a=4.5315 b=4.5315 c=3.6754 alpha=90.00 beta=90.00 gamma=90.00
Closest atoms and distances in Å follow each position.
Atoms (fractional coordinates):
N 0.0000 0.0000 0.5000  2 Se 1.84
Se 0.0000 0.0000 0.0000  2 N 1.84
Ag 0.5000 0.5000 0.5000  8 F 2.92, 4 N 3.20
F 0.0000 0.5000 0.0000  2 Se 2.27
F 0.5000 0.0000 0.0000  2 Se 2.27

* symmetry: No. 123
* spin magnetization: 0.000 μB/atom
* N(E_F): 0.118 states/eV per atom


--- 2 ---
A geometry-optimized AgSeNF2 structure. Source: the Alexandria database, functional GGA-PBE.

Unit cell a=4.2995 b=4.2995 c=4.2596 alpha=90.00 beta=90.00 gamma=90.00
Closest atoms and distances in Å follow each position.
Atoms (fractional coordinates):
N 0.0000 0.0000 0.5000  2 Ag 2.13
Se 0.5000 0.5000 0.5000  8 F 3.03, 4 N 3.04
Ag 0.0000 0.0000 0.0000  2 N 2.13, 4 F 2.15
F 0.0000 0.5000 0.0000  2 Ag 2.15
F 0.5000 0.0000 0.0000  2 Ag 2.15

* symmetry: No. 123
* spin magnetization: 0.084 μB/atom
* N(E_F): 0.598 states/eV per atom


Most stable pick: 1. Distance to second place: 53.8 kJ/mol of atoms.


--- 1 ---
A geometry-optimized SiAgNF2 structure. Source: the Alexandria database, functional GGA-PBE.

Unit cell a=4.1381 b=4.1381 c=3.3080 alpha=90.00 beta=90.00 gamma=90.00
Closest atoms and distances in Å follow each position.
Atoms (fractional coordinates):
Si 0.0000 0.0000 0.0000  2 N 1.65
N 0.0000 0.0000 0.5000  2 Si 1.65
Ag 0.5000 0.5000 0.5000  8 F 2.65, 4 N 2.93
F 0.0000 0.5000 0.0000  2 Si 2.07
F 0.5000 0.0000 0.0000  2 Si 2.07

* symmetry: No. 123
* spin magnetization: 0.000 μB/atom


--- 2 ---
A geometry-optimized SiAgNF2 structure. Source: the Alexandria database, functional GGA-PBE.

Unit cell a=4.2885 b=4.2885 c=4.0807 alpha=90.00 beta=90.00 gamma=90.00
Closest atoms and distances in Å follow each position.
Atoms (fractional coordinates):
Si 0.5000 0.5000 0.5000  8 F 2.96, 4 N 3.03
N 0.0000 0.0000 0.5000  2 Ag 2.04
Ag 0.0000 0.0000 0.0000  2 N 2.04, 4 F 2.14
F 0.0000 0.5000 0.0000  2 Ag 2.14
F 0.5000 0.0000 0.0000  2 Ag 2.14

* symmetry: No. 123
* spin magnetization: 0.111 μB/atom
* N(E_F): 0.687 states/eV per atom


Most stable pick: 1. Distance to second place: 136.9 kJ/mol of atoms.